RbNdTe4Au3 | PBE | relaxed

Properties
DFT total energy ... -3.51 eV per atom

```
9
Lattice="-4.885 -4.737 -1.691 4.635 -5.155 1.053 -1.955 -0.384 6.723" Properties=species:S:1:pos:R:3 pbc="T T T"
Te -3.094 -4.927 0.550
Te 1.918 -5.147 1.995
Te -1.683 -7.844 4.645
Te -1.551 -2.635 4.980
Au -0.978 -0.192 3.361
Au 2.317 -2.578 0.527
Au -2.443 -2.369 -0.846
Nd 0.000 0.000 0.000
Rb -1.103 -5.138 3.043
```